VASP calculation (GGA-PBE) on a relaxed Rb3Sn3Hg8 crystal.

Cell: 5.353 9.975 9.687 Å, 63.39 73.96 74.44°
Fractional positions:
Rb: 0.293 0.719 0.696
Rb: 0.707 0.281 0.304
Rb: 0.000 0.000 0.000
Sn: 0.000 0.500 0.500
Sn: 0.660 0.687 0.993
Sn: 0.340 0.313 0.007
Hg: 0.140 0.148 0.572
Hg: 0.860 0.852 0.428
Hg: 0.852 0.432 0.863
Hg: 0.148 0.568 0.137
Hg: 0.502 0.667 0.329
Hg: 0.498 0.333 0.671
Hg: 0.355 0.010 0.279
Hg: 0.645 0.990 0.721

Output
**Total magnetic moment**: 0.00 μB/f.u.
**Calculated formation energy**: -0.157 eV/atom
**V**: 438.1 Å³/f.u.